[1]
A plane-wave DFT calculation with PBE was carried out for a relaxed BaCoS2N crystal.

```
5
Lattice="-0.023 1.142 -5.714 1.313 -5.566 -1.117 -4.967 -1.130 -0.205" Properties=species:S:1:pos:R:3 pbc="T T T"
S 0.656 -2.783 -0.559
S -0.012 0.571 -2.857
Co -1.839 -2.777 -3.519
Ba 0.000 0.000 0.000
N -2.483 -0.565 -0.103
```

[2]
A plane-wave DFT calculation with PBE was carried out for a relaxed BaCoS2N crystal.

```
5
Lattice="-4.830 0.376 1.507 0.785 -3.658 3.427 0.940 2.451 2.402" Properties=species:S:1:pos:R:3 pbc="T T T"
S 0.392 -1.829 1.714
S -2.415 0.188 0.754
Co 0.000 0.000 0.000
Ba -1.553 -0.416 3.668
N 0.470 1.226 1.201
```

no.,N(E_F) (states/eV/f.u.),formation energy without anion corrections (eV/atom)
1,6.567,1.547
2,3.217,-0.372